# ErMg2GaPd2

Crystalline ErMg2GaPd2 at its relaxed geometry (PBE, Alexandria).

POSCAR file:
```
ErMg2GaPd2
1.0
5.134 0.000 0.000
0.000 5.134 0.000
-2.567 -2.567 5.197
Er Mg Ga Pd
1 2 1 2
Cartesian
2.567 2.567 0.000
0.000 2.567 2.599
2.567 0.000 2.599
0.000 0.000 0.000
2.567 2.567 2.780
0.000 0.000 2.417
```

Values from the calculation:
The space-group type is I4/mmm. The size of the total moment is 0.000 μB per atom. The value obtained for the formation energy is -309 meV per atom. As for the density of states at the Fermi level: 3.89 states/eV per cell.